Computed, not measured: an optimized crystal structure of LaTb2ScBi4 at the PBE level of DFT.

Properties
Final energy   -5.3431 eV/atom
Mass density   8.62 Mg/m³
E_form   -0.838 eV/atom

Cell: 4.507 7.778 7.800 Å, 109.48 90.00 90.00°
Sites, in units of the cell vectors:
Bi1 0.000 0.763 0.253
Sc1 0.000 0.000 0.000
Tb1 0.500 0.000 0.500
La1 0.500 0.500 0.000
Bi2 0.000 0.237 0.747
Tb2 0.000 0.500 0.500
Bi3 0.500 0.236 0.244
Bi4 0.500 0.764 0.756